A geometry-optimized La5Au structure. Source: the Alexandria database, functional PBEsol.

Output
Energy above the lowest structure with this stoichiometry: 0.000 eV per atom
Density of states at the Fermi level: 8.32 states/eV/f.u.
Symmetry: P4/mmm
ΔH_f (0 K): -0.24 eV/atom
Crystal system: tetragonal

Unit cell a=3.723 b=3.723 c=13.281 alpha=90.00 beta=90.00 gamma=90.00
Fractional coordinates of all 6 atoms:
La 0.000 0.000 0.000
La 0.000 0.000 0.366
La 0.000 0.000 0.634
La 0.500 0.500 0.184
La 0.500 0.500 0.816
Au 0.500 0.500 0.500